The following is a DFT calculation (PBE-GGA) of YReSi after structural relaxation.

Lattice parameters (Å, degrees): 7.605 7.605 5.078 90.00 90.00 155.77
Fractional coordinates of all 6 atoms:
Y 0.159 0.841 0.750
Y 0.841 0.159 0.250
Re 0.500 0.500 0.000
Re 0.500 0.500 0.500
Si 0.355 0.645 0.750
Si 0.645 0.355 0.250

## Properties
- Energy relative to the elements, uncorrected: -23 kJ/mol of formula units
- Space-group type: Cmcm